Record 1
# Sb2TeIN | Alexandria via LeMat-Bulk | PBE | relaxed
data_Sb2TeIN
_chemical_formula_sum 'Sb2 Te1 I1 N1'
_cell_length_a 5.853
_cell_length_b 5.853
_cell_length_c 5.648
_cell_angle_alpha 90.00
_cell_angle_beta 90.00
_cell_angle_gamma 90.00
_symmetry_space_group_name_H-M 'P 4/m m m'
_symmetry_Int_Tables_number 123
_symmetry_space_group_name_Hall '-P 4 2'
loop_
_atom_site_label
_atom_site_fract_x
_atom_site_fract_y
_atom_site_fract_z
Sb1 0.000 0.500 0.000
Te1 0.000 0.000 0.500
I1 0.000 0.000 0.000
N1 0.500 0.500 0.500
# Formation energy from raw total energies   53.40 kcal/mol of atoms
# E   -9.685 eV for the cell shown
# Polymorph energy (0 for the lowest one)   1.556 eV/atom


Record 2
# LiAc2Cd4 | Alexandria via LeMat-Bulk | PBE | relaxed
data_LiAc2Cd4
_chemical_formula_sum 'Li2 Ac4 Cd8'
_cell_length_a 11.555
_cell_length_b 5.042
_cell_length_c 7.452
_cell_angle_alpha 90.00
_cell_angle_beta 113.69
_cell_angle_gamma 90.00
_symmetry_space_group_name_H-M 'C 1 2/m 1'
_symmetry_Int_Tables_number 12
_symmetry_space_group_name_Hall '-C 2y'
loop_
_atom_site_label
_atom_site_fract_x
_atom_site_fract_y
_atom_site_fract_z
Li1 0.000 0.000 0.000
Ac1 0.154 0.500 0.757
Cd1 0.096 0.000 0.411
Cd2 0.136 0.500 0.217
# E   -31.519 eV for the cell shown
# Calculated formation energy   -0.28 eV per atom


Record 3
# MgSc2P | Alexandria via LeMat-Bulk | PBE | relaxed
data_MgSc2P
_chemical_formula_sum 'Mg3 Sc6 P3'
_cell_length_a 3.6077
_cell_length_b 3.6077
_cell_length_c 24.2177
_cell_angle_alpha 90.00
_cell_angle_beta 90.00
_cell_angle_gamma 120.00
_symmetry_space_group_name_H-M 'R -3 m'
_symmetry_Int_Tables_number 166
_symmetry_space_group_name_Hall '-R 3 2"'
loop_
_atom_site_label
_atom_site_fract_x
_atom_site_fract_y
_atom_site_fract_z
Mg1 0.0000 0.0000 0.0000
Sc1 0.0000 0.0000 0.2282
P1 0.0000 0.0000 0.5000
# E   -67.500 eV for the cell shown
# Calculated formation energy   -0.71 eV per atom
# Polymorph energy (0 for the lowest one)   0.000 eV/atom


Record 4
# Pr2Er9Th | Alexandria via LeMat-Bulk | PBE | relaxed
data_Pr2Er9Th
_chemical_formula_sum 'Pr2 Er9 Th1'
_cell_length_a 5.013
_cell_length_b 5.013
_cell_length_c 15.083
_cell_angle_alpha 90.00
_cell_angle_beta 90.00
_cell_angle_gamma 90.00
_symmetry_space_group_name_H-M 'P 4/m m m'
_symmetry_Int_Tables_number 123
_symmetry_space_group_name_Hall '-P 4 2'
loop_
_atom_site_label
_atom_site_fract_x
_atom_site_fract_y
_atom_site_fract_z
Pr1 0.000 0.000 0.168
Er1 0.000 0.500 0.000
Er2 0.000 0.500 0.337
Er3 0.500 0.500 0.167
Er4 0.500 0.500 0.500
Th1 0.000 0.000 0.500
# E   -57.712 eV for the cell shown
# Calculated formation energy   0.03 eV per atom


Record 5
# Li2EuRh | Alexandria via LeMat-Bulk | PBE | relaxed
data_Li2EuRh
_chemical_formula_sum 'Li8 Eu4 Rh4'
_cell_length_a 6.586
_cell_length_b 6.586
_cell_length_c 6.586
_cell_angle_alpha 90.00
_cell_angle_beta 90.00
_cell_angle_gamma 90.00
_symmetry_space_group_name_H-M 'F m -3 m'
_symmetry_Int_Tables_number 225
_symmetry_space_group_name_Hall '-F 4 2 3'
loop_
_atom_site_label
_atom_site_fract_x
_atom_site_fract_y
_atom_site_fract_z
Li1 0.250 0.250 0.250
Eu1 0.000 0.000 0.000
Rh1 0.000 0.000 0.500
# E   -87.148 eV for the cell shown
# Calculated formation energy   -0.08 eV per atom
# Polymorph energy (0 for the lowest one)   0.000 eV/atom


Record 6
# Ba2CdSbO | Alexandria via LeMat-Bulk | PBE | relaxed
data_Ba2CdSbO
_chemical_formula_sum 'Ba2 Cd1 Sb1 O1'
_cell_length_a 5.480
_cell_length_b 5.480
_cell_length_c 4.983
_cell_angle_alpha 90.00
_cell_angle_beta 90.00
_cell_angle_gamma 90.00
_symmetry_space_group_name_H-M 'P 4/m m m'
_symmetry_Int_Tables_number 123
_symmetry_space_group_name_Hall '-P 4 2'
loop_
_atom_site_label
_atom_site_fract_x
_atom_site_fract_y
_atom_site_fract_z
Ba1 0.000 0.500 0.000
Cd1 0.000 0.000 0.500
Sb1 0.500 0.500 0.500
O1 0.000 0.000 0.000
# Formation energy from raw total energies   -28.32 kcal/mol of atoms
# E   -19.981 eV for the cell shown
# Polymorph energy (0 for the lowest one)   0.027 eV/atom


Record 7
# KBaP2 | Alexandria via LeMat-Bulk | PBE | relaxed
data_KBaP2
_chemical_formula_sum 'K2 Ba2 P4'
_cell_length_a 4.378
_cell_length_b 4.898
_cell_length_c 11.040
_cell_angle_alpha 90.00
_cell_angle_beta 90.00
_cell_angle_gamma 90.00
_symmetry_space_group_name_H-M 'A m m 2'
_symmetry_Int_Tables_number 38
_symmetry_space_group_name_Hall 'A 2 -2'
loop_
_atom_site_label
_atom_site_fract_x
_atom_site_fract_y
_atom_site_fract_z
K1 0.000 0.000 0.000
Ba1 0.500 0.000 0.724
P1 0.000 0.000 0.304
P2 0.500 0.000 0.403
# E   -32.344 eV for the cell shown
# Calculated formation energy   -0.58 eV per atom
# Polymorph energy (0 for the lowest one)   0.061 eV/atom


Record 8
# Th2Sc2Sn2C | Alexandria via LeMat-Bulk | PBE | relaxed
data_Th2Sc2Sn2C
_chemical_formula_sum 'Th4 Sc4 Sn4 C2'
_cell_length_a 4.587
_cell_length_b 4.587
_cell_length_c 16.192
_cell_angle_alpha 90.00
_cell_angle_beta 90.00
_cell_angle_gamma 90.00
_symmetry_space_group_name_H-M 'I 4/m m m'
_symmetry_Int_Tables_number 139
_symmetry_space_group_name_Hall '-I 4 2'
loop_
_atom_site_label
_atom_site_fract_x
_atom_site_fract_y
_atom_site_fract_z
Th1 0.000 0.000 0.162
Sc1 0.000 0.500 0.000
Sn1 0.000 0.000 0.369
C1 0.000 0.000 0.000
# E   -99.213 eV for the cell shown
# Calculated formation energy   -0.70 eV per atom


Record 9
# TaCuP3 | Alexandria via LeMat-Bulk | PBE | relaxed
data_TaCuP3
_chemical_formula_sum 'Ta1 Cu1 P3'
_cell_length_a 4.790
_cell_length_b 4.790
_cell_length_c 4.790
_cell_angle_alpha 90.00
_cell_angle_beta 90.00
_cell_angle_gamma 90.00
_symmetry_space_group_name_H-M 'P m -3 m'
_symmetry_Int_Tables_number 221
_symmetry_space_group_name_Hall '-P 4 2 3'
loop_
_atom_site_label
_atom_site_fract_x
_atom_site_fract_y
_atom_site_fract_z
Ta1 0.000 0.000 0.000
Cu1 0.500 0.500 0.500
P1 0.000 0.000 0.500
# E   -28.850 eV for the cell shown
# Calculated formation energy   0.67 eV per atom
# Polymorph energy (0 for the lowest one)   0.000 eV/atom


Record 10
# CsBaPb2 | Alexandria via LeMat-Bulk | PBE | relaxed
data_CsBaPb2
_chemical_formula_sum 'Cs1 Ba1 Pb2'
_cell_length_a 4.689
_cell_length_b 4.689
_cell_length_c 8.587
_cell_angle_alpha 90.00
_cell_angle_beta 90.00
_cell_angle_gamma 90.00
_symmetry_space_group_name_H-M 'P 4/m m m'
_symmetry_Int_Tables_number 123
_symmetry_space_group_name_Hall '-P 4 2'
loop_
_atom_site_label
_atom_site_fract_x
_atom_site_fract_y
_atom_site_fract_z
Cs1 0.000 0.000 0.000
Ba1 0.000 0.000 0.500
Pb1 0.500 0.500 0.315
# E   -11.197 eV for the cell shown
# Calculated formation energy   -0.25 eV per atom
# Polymorph energy (0 for the lowest one)   0.085 eV/atom


Record 11
# SrCa3 | Alexandria via LeMat-Bulk | PBE | relaxed
data_SrCa3
_chemical_formula_sum 'Sr1 Ca3'
_cell_length_a 4.011
_cell_length_b 6.581
_cell_length_c 6.846
_cell_angle_alpha 90.00
_cell_angle_beta 90.00
_cell_angle_gamma 90.00
_symmetry_space_group_name_H-M 'P m m 2'
_symmetry_Int_Tables_number 25
_symmetry_space_group_name_Hall 'P 2 -2'
loop_
_atom_site_label
_atom_site_fract_x
_atom_site_fract_y
_atom_site_fract_z
Sr1 0.000 0.000 0.000
Ca1 0.000 0.500 0.656
Ca2 0.500 0.000 0.499
Ca3 0.500 0.500 0.165
# E   -7.618 eV for the cell shown
# Calculated formation energy   0.02 eV per atom
# Polymorph energy (0 for the lowest one)   0.003 eV/atom


Record 12
# Tb2NiI | Alexandria via LeMat-Bulk | PBE | relaxed
data_Tb2NiI
_chemical_formula_sum 'Tb6 Ni3 I3'
_cell_length_a 4.0278
_cell_length_b 4.0278
_cell_length_c 23.5943
_cell_angle_alpha 90.00
_cell_angle_beta 90.00
_cell_angle_gamma 120.00
_symmetry_space_group_name_H-M 'R -3 m'
_symmetry_Int_Tables_number 166
_symmetry_space_group_name_Hall '-R 3 2"'
loop_
_atom_site_label
_atom_site_fract_x
_atom_site_fract_y
_atom_site_fract_z
Tb1 0.0000 0.0000 0.2265
Ni1 0.0000 0.0000 0.5000
I1 0.0000 0.0000 0.0000
# Formation energy from raw total energies   -15.57 kcal/mol of atoms
# E   -57.879 eV for the cell shown
# Polymorph energy (0 for the lowest one)   0.000 eV/atom